(1)
VASP calculation (PBE) on a relaxed GaHg3Te4 crystal.

DOS at the Fermi energy ... 1.36 states/eV per cell
Theoretical density ... 6.76 g cm⁻³
Formation energy without anion corrections ... -0.156 eV per atom
M_tot ... 0.00 μB per cell
Raw total energy ... -17.74 eV/cell

abc: 4.735 4.735 15.199
angles: 81.05 81.05 60.02
Fractional positions:
1 Hg 0.251 0.251 0.247
2 Hg 0.499 0.499 0.501
3 Hg 0.748 0.748 0.756
4 Te 0.060 0.060 0.820
5 Te 0.564 0.564 0.307
6 Te 0.812 0.812 0.563
7 Te 0.317 0.317 0.050
8 Ga 0.998 0.998 0.005

***

(2)
VASP calculation (PBE) on a relaxed CuTc2 crystal.

DOS at the Fermi energy ... 2.11 states/eV per cell
Theoretical density ... 10.43 g cm⁻³
ΔH_f (0 K) ... 0.123 eV/atom
M_tot ... 0.00 μB per cell
Raw total energy ... -24.46 eV/cell

abc: 4.605 4.605 4.605
angles: 145.80 130.50 61.54
Fractional positions:
1 Cu 0.000 0.000 0.000
2 Tc 0.666 0.666 0.000
3 Tc 0.334 0.334 0.000

***

(3)
VASP calculation (PBE) on a relaxed KLiMg crystal.

DOS at the Fermi energy ... 2.77 states/eV per cell
Theoretical density ... 1.07 g cm⁻³
ΔH_f (0 K) ... 0.079 eV/atom
M_tot ... 0.00 μB per cell
Raw total energy ... -8.74 eV/cell

abc: 4.189 4.185 12.582
angles: 99.74 90.16 90.01
Fractional positions:
1 Li 0.145 0.186 0.608
2 Li 0.643 0.108 0.453
3 K 0.646 0.967 0.185
4 K 0.145 0.311 0.875
5 Mg 0.644 0.697 0.631
6 Mg 0.142 0.596 0.430

***

(4)
VASP calculation (PBE) on a relaxed Pm3Y4Er crystal.

DOS at the Fermi energy ... 21.84 states/eV per cell
Theoretical density ... 6.07 g cm⁻³
ΔH_f (0 K) ... 0.002 eV/atom
M_tot ... 0.00 μB per cell
Raw total energy ... -89.31 eV/cell

abc: 7.218 6.245 11.624
angles: 90.00 90.00 90.00
Fractional positions:
1 Y 0.689 0.169 0.500
2 Y 0.439 0.332 0.000
3 Y 0.189 0.831 0.000
4 Y 0.939 0.668 0.500
5 Y 0.939 0.001 0.249
6 Y 0.439 0.999 0.251
7 Y 0.439 0.999 0.749
8 Y 0.939 0.001 0.751
9 Pm 0.690 0.832 0.000
10 Pm 0.689 0.500 0.750
11 Pm 0.190 0.168 0.500
12 Pm 0.189 0.500 0.750
13 Pm 0.189 0.500 0.250
14 Pm 0.689 0.500 0.250
15 Er 0.940 0.333 0.000
16 Er 0.440 0.667 0.500

***

(5)
VASP calculation (PBE) on a relaxed CeGaN crystal.

DOS at the Fermi energy ... 3.04 states/eV per cell
Theoretical density ... 6.07 g cm⁻³
Formation energy without anion corrections ... -0.934 eV per atom
M_tot ... 0.00 μB per cell
Raw total energy ... -40.18 eV/cell

abc: 3.997 3.997 7.803
angles: 82.48 97.52 91.63
Fractional positions:
1 Ce 0.785 0.215 0.643
2 Ce 0.215 0.785 0.357
3 N 0.749 0.749 0.500
4 N 0.251 0.251 0.500
5 Ga 0.722 0.278 0.061
6 Ga 0.278 0.722 0.939

***

(6)
VASP calculation (PBE) on a relaxed PaRuS3 crystal.

DOS at the Fermi energy ... 18.42 states/eV per cell
Theoretical density ... 7.49 g cm⁻³
Formation energy without anion corrections ... -1.055 eV per atom
M_tot ... 0.00 μB per cell
Raw total energy ... -145.71 eV/cell

abc: 6.777 6.655 8.439
angles: 93.34 90.00 90.00
Fractional positions:
1 Pa 0.697 0.711 0.168
2 Pa 0.803 0.711 0.668
3 Pa 0.303 0.289 0.832
4 Pa 0.197 0.289 0.332
5 S 0.963 0.790 0.953
6 S 0.326 0.569 0.123
7 S 0.537 0.790 0.453
8 S 0.558 0.088 0.165
9 S 0.826 0.431 0.377
10 S 0.674 0.431 0.877
11 S 0.174 0.569 0.623
12 S 0.037 0.210 0.047
13 S 0.942 0.088 0.665
14 S 0.058 0.912 0.335
15 S 0.463 0.210 0.547
16 S 0.442 0.912 0.835
17 Ru 0.249 0.920 0.083
18 Ru 0.751 0.080 0.917
19 Ru 0.749 0.080 0.417
20 Ru 0.251 0.920 0.583

***

(7)
VASP calculation (PBE) on a relaxed LiOsRh crystal.

DOS at the Fermi energy ... 5.06 states/eV per cell
Theoretical density ... 11.41 g cm⁻³
ΔH_f (0 K) ... 0.359 eV/atom
M_tot ... 0.00 μB per cell
Raw total energy ... -38.83 eV/cell

abc: 4.318 4.318 5.410
angles: 90.00 90.00 120.00
Fractional positions:
1 Rh 0.667 0.333 0.523
2 Rh 0.333 0.667 0.023
3 Li 0.000 0.000 0.249
4 Li 0.000 0.000 0.749
5 Os 0.333 0.667 0.478
6 Os 0.667 0.333 0.978

***

(8)
VASP calculation (PBE) on a relaxed Cs2TlIF2 crystal.

DOS at the Fermi energy ... 0.00 states/eV per cell
Theoretical density ... 4.89 g cm⁻³
Formation energy without anion corrections ... -1.952 eV per atom
M_tot ... 0.00 μB per cell
Raw total energy ... -21.08 eV/cell

abc: 5.185 5.185 8.021
angles: 90.00 90.00 90.00
Fractional positions:
1 F 0.000 0.500 0.000
2 F 0.500 0.000 0.000
3 Tl 0.000 0.000 0.000
4 Cs 0.500 0.500 0.763
5 Cs 0.500 0.500 0.237
6 I 0.000 0.000 0.500